A relaxed structure of Rb3DyCr2O8. Source: the Alexandria database, functional PBE with a Hubbard U.

extended XYZ file:
```
14
Lattice="-5.5648 2.1478 0.9757 1.3671 -5.6748 1.5684 2.2469 2.5386 7.2268" Properties=species:S:1:pos:R:3 pbc="T T T"
Rb 0.6290 -1.2906 6.4286
Rb -2.5798 0.3022 3.3423
Rb 0.0000 0.0000 0.0000
Dy 1.1234 1.2693 3.6134
Cr -0.3651 -2.4137 3.2314
Cr -1.5857 1.4254 6.5395
O -0.8347 -2.9442 1.7210
O -1.1161 1.9559 8.0499
O 0.8969 -3.4438 3.8856
O -2.8477 2.4555 5.8853
O 0.2535 -0.7729 3.1474
O -2.2043 -0.2154 6.6235
O -1.7222 -2.4329 4.3448
O -0.2286 1.4446 5.4261
```

V = 253 Å³ per cell
Final energy = -6.389 eV/atom